Entry 1:
6
Lattice="3.540 0.000 0.000 0.000 3.540 0.000 0.000 0.000 10.875" Properties=species:S:1:pos:R:3 comment="AcNbNi, optimized geometry, DFT PBE" e_form_mev_per_atom=243 pbc="T T T"
Ac 0.000 0.000 1.850
Ac 0.000 0.000 9.026
Nb 1.770 1.770 4.263
Nb 1.770 1.770 6.613
Ni 0.000 0.000 5.438
Ni 1.770 1.770 0.000

Entry 2:
6
Lattice="0.000 3.790 3.790 3.790 0.000 3.790 3.790 3.790 0.000" Properties=species:S:1:pos:R:3 comment="PmErRu4, optimized geometry, DFT PBE" e_form_mev_per_atom=-248 pbc="T T T"
Pm 0.000 0.000 0.000
Er 5.684 5.684 5.684
Ru 2.844 2.844 2.844
Ru 4.735 4.735 2.844
Ru 4.735 2.844 4.735
Ru 2.844 4.735 4.735

Entry 3:
4
Lattice="4.890 0.000 0.000 0.000 4.890 0.000 0.000 0.000 4.685" Properties=species:S:1:pos:R:3 comment="CeHo2In, optimized geometry, DFT PBE" e_form_mev_per_atom=-214 pbc="T T T"
Ce 0.000 0.000 0.000
Ho 0.000 2.445 2.342
Ho 2.445 0.000 2.342
In 2.445 2.445 0.000

Entry 4:
10
Lattice="3.710 2.142 6.589 -3.710 2.142 6.589 0.000 -4.284 6.589" Properties=species:S:1:pos:R:3 comment="SrTl2AgCl6, optimized geometry, DFT PBE" formation_energy_uncorrected_ev_per_atom=-1.206 pbc="T T T"
Sr 0.000 0.000 0.000
Tl 0.000 0.000 5.679
Tl 0.000 0.000 15.794
Ag 0.000 0.000 9.816
Cl -2.262 0.065 8.004
Cl -1.564 -1.798 11.177
Cl 1.075 -1.992 8.004
Cl -0.776 2.253 11.177
Cl 1.187 1.926 8.004
Cl 2.339 -0.455 11.177

Entry 5:
12
Lattice="7.498 0.000 0.000 -3.749 6.493 0.000 0.000 0.000 5.262" Properties=species:S:1:pos:R:3 comment="AgPt2Se3, optimized geometry, DFT PBE" formation_energy_uncorrected_ev_per_atom=-0.310 pbc="T T T"
Ag 0.000 4.329 0.779
Ag 3.749 2.164 4.483
Pt 0.000 0.000 2.631
Pt -1.874 3.247 2.631
Pt 3.749 0.000 2.631
Pt 1.874 3.247 2.631
Se 0.000 2.248 3.888
Se -1.802 5.369 3.888
Se 1.947 1.124 1.374
Se 1.802 5.369 3.888
Se 5.551 1.124 1.374
Se 3.749 4.245 1.374

Entry 6:
5
Lattice="4.429 0.000 0.000 0.000 4.429 0.000 0.000 0.000 3.704" Properties=species:S:1:pos:R:3 comment="IrRhOF2, optimized geometry, DFT PBE" formation_energy_uncorrected_ev_per_atom=-0.028 pbc="T T T"
Ir 0.000 0.000 0.000
Rh 2.214 2.214 1.852
O 0.000 0.000 1.852
F 0.000 2.214 0.000
F 2.214 0.000 0.000

Summary of E_tot in Ry/atom
-0.4711; -0.5869; -0.3433; -0.2382; -0.3337; -0.3683
(order as listed above)